# 1
# Rb2B7H5O14 | Alexandria via LeMat-Bulk | GGA-PBE | relaxed
# total DFT energy (no corrections) = -6.89 eV/atom
# crystal system = monoclinic
data_Rb2B7H5O14
_space_group_name_H-M_alt 'P 1 21/c 1'
_space_group_IT_number 14
_space_group_name_Hall '-P 2ybc'
_cell_length_a 8.195
_cell_length_b 12.179
_cell_length_c 14.634
_cell_angle_alpha 90.00
_cell_angle_beta 109.91
_cell_angle_gamma 90.00
loop_
_atom_site_label
_atom_site_type_symbol
_atom_site_fract_x
_atom_site_fract_y
_atom_site_fract_z
_atom_site_occupancy
Rb1 Rb 0.039 0.167 0.066 1
Rb2 Rb 0.307 0.509 0.076 1
B1 B 0.037 0.581 0.787 1
B2 B 0.129 0.195 0.371 1
B3 B 0.239 0.608 0.702 1
B4 B 0.313 0.681 0.872 1
B5 B 0.340 0.222 0.292 1
B6 B 0.377 0.621 0.410 1
B7 B 0.436 0.240 0.476 1
H1 H 0.115 0.669 0.206 1
H2 H 0.200 0.026 0.782 1
H3 H 0.371 0.649 0.617 1
H4 H 0.390 0.045 0.937 1
H5 H 0.476 0.229 0.711 1
O1 O 0.042 0.679 0.137 1
O2 O 0.079 0.571 0.702 1
O3 O 0.125 0.050 0.716 1
O4 O 0.153 0.622 0.871 1
O5 O 0.172 0.191 0.287 1
O6 O 0.249 0.214 0.460 1
O7 O 0.268 0.606 0.614 1
O8 O 0.268 0.700 0.356 1
O9 O 0.328 0.513 0.388 1
O10 O 0.363 0.645 0.786 1
O11 O 0.368 0.229 0.206 1
O12 O 0.453 0.659 0.961 1
O13 O 0.466 0.242 0.380 1
O14 O 0.473 0.146 0.014 1

# 2
# TbYEr2S6 | Alexandria via LeMat-Bulk | GGA-PBE | relaxed
# ΔE_f (raw) = -2063 meV per atom
# total DFT energy (no corrections) = -6.56 eV/atom
# crystal system = trigonal
data_TbYEr2S6
_space_group_name_H-M_alt 'R 3'
_space_group_IT_number 146
_space_group_name_Hall 'R 3'
_cell_length_a 6.8891
_cell_length_b 6.8891
_cell_length_c 18.4615
_cell_angle_alpha 90.00
_cell_angle_beta 90.00
_cell_angle_gamma 120.00
loop_
_atom_site_label
_atom_site_type_symbol
_atom_site_fract_x
_atom_site_fract_y
_atom_site_fract_z
_atom_site_occupancy
Tb1 Tb 0.0000 0.0000 0.0000 1
Y1 Y 0.0000 0.0000 0.4995 1
Er1 Er 0.0000 0.0000 0.2989 1
Er2 Er 0.0000 0.0000 0.7991 1
S1 S 0.0060 0.7018 0.8978 1
S2 S 0.0074 0.3043 0.3978 1

# 3
# La2DyY12 | Alexandria via LeMat-Bulk | GGA-PBE | relaxed
# total DFT energy (no corrections) = -5.76 eV/atom
# energy relative to the elements = 36 kJ per mole of atoms
# crystal system = tetragonal
data_La2DyY12
_space_group_name_H-M_alt 'P 4/n b m'
_space_group_IT_number 125
_cell_length_a 6.528
_cell_length_b 6.528
_cell_length_c 24.946
_cell_angle_alpha 90.00
_cell_angle_beta 90.00
_cell_angle_gamma 90.00
loop_
_space_group_symop_operation_xyz
'x,y,z'
'-x,-y,-z'
'-y+1/2,x,z'
'y+1/2,-x,-z'
'-x+1/2,-y+1/2,z'
'x+1/2,y+1/2,-z'
'y,-x+1/2,z'
'-y,x+1/2,-z'
'x,-y+1/2,-z'
'-x,y+1/2,z'
'-y+1/2,-x+1/2,-z'
'y+1/2,x+1/2,z'
'-x+1/2,y,-z'
'x+1/2,-y,z'
'y,x,-z'
'-y,-x,z'
loop_
_atom_site_label
_atom_site_type_symbol
_atom_site_fract_x
_atom_site_fract_y
_atom_site_fract_z
_atom_site_occupancy
La1 La 0.250 0.750 0.240 1
Dy1 Dy 0.250 0.750 0.500 1
Y1 Y 0.001 0.501 0.389 1
Y2 Y 0.081 0.581 0.939 1
Y3 Y 0.250 0.250 0.162 1
Y4 Y 0.250 0.250 0.288 1

# 4
# PaPt3 | Alexandria via LeMat-Bulk | GGA-PBE | relaxed
# total DFT energy (no corrections) = -7.80 eV/atom
# energy relative to the elements = -86 kJ per mole of atoms
# crystal system = cubic
# energy above the lowest structure with this stoichiometry = 156 meV/atom
data_PaPt3
_space_group_name_H-M_alt 'P m -3 m'
_space_group_IT_number 221
_space_group_name_Hall '-P 4 2 3'
_cell_length_a 4.186
_cell_length_b 4.186
_cell_length_c 4.186
_cell_angle_alpha 90.00
_cell_angle_beta 90.00
_cell_angle_gamma 90.00
loop_
_atom_site_label
_atom_site_type_symbol
_atom_site_fract_x
_atom_site_fract_y
_atom_site_fract_z
_atom_site_occupancy
Pa1 Pa 0.000 0.000 0.000 1
Pt1 Pt 0.000 0.500 0.500 1

# 5
# PmDyTmMg | Alexandria via LeMat-Bulk | GGA-PBE | relaxed
# total DFT energy (no corrections) = -3.83 eV/atom
# energy relative to the elements = 3 kJ per mole of atoms
# crystal system = cubic
# energy above the lowest structure with this stoichiometry = 51 meV/atom
data_PmDyTmMg
_space_group_name_H-M_alt 'F -4 3 m'
_space_group_IT_number 216
_space_group_name_Hall 'F -4 2 3'
_cell_length_a 7.800
_cell_length_b 7.800
_cell_length_c 7.800
_cell_angle_alpha 90.00
_cell_angle_beta 90.00
_cell_angle_gamma 90.00
loop_
_atom_site_label
_atom_site_type_symbol
_atom_site_fract_x
_atom_site_fract_y
_atom_site_fract_z
_atom_site_occupancy
Pm1 Pm 0.000 0.000 0.000 1
Dy1 Dy 0.000 0.000 0.500 1
Tm1 Tm 0.250 0.250 0.250 1
Mg1 Mg 0.250 0.250 0.750 1

# 6
# Nd3TaN4 | Alexandria via LeMat-Bulk | GGA-PBE | relaxed
# ΔE_f (raw) = -1243 meV per atom
# total DFT energy (no corrections) = -8.68 eV/atom
# crystal system = orthorhombic
data_Nd3TaN4
_space_group_name_H-M_alt 'P m n 21'
_space_group_IT_number 31
_space_group_name_Hall 'P 2ac -2'
_cell_length_a 8.067
_cell_length_b 6.861
_cell_length_c 5.264
_cell_angle_alpha 90.00
_cell_angle_beta 90.00
_cell_angle_gamma 90.00
loop_
_atom_site_label
_atom_site_type_symbol
_atom_site_fract_x
_atom_site_fract_y
_atom_site_fract_z
_atom_site_occupancy
Nd1 Nd 0.000 0.161 0.000 1
Nd2 Nd 0.246 0.333 0.502 1
Ta1 Ta 0.000 0.825 0.454 1
N1 N 0.000 0.116 0.500 1
N2 N 0.000 0.826 0.081 1
N3 N 0.222 0.696 0.499 1

# 7
# YHoPtRh | Alexandria via LeMat-Bulk | GGA-PBE | relaxed
# total DFT energy (no corrections) = -7.16 eV/atom
# energy relative to the elements = -101 kJ per mole of atoms
# crystal system = cubic
# energy above the lowest structure with this stoichiometry = 10 meV/atom
data_YHoPtRh
_space_group_name_H-M_alt 'F -4 3 m'
_space_group_IT_number 216
_space_group_name_Hall 'F -4 2 3'
_cell_length_a 6.915
_cell_length_b 6.915
_cell_length_c 6.915
_cell_angle_alpha 90.00
_cell_angle_beta 90.00
_cell_angle_gamma 90.00
loop_
_atom_site_label
_atom_site_type_symbol
_atom_site_fract_x
_atom_site_fract_y
_atom_site_fract_z
_atom_site_occupancy
Y1 Y 0.000 0.000 0.000 1
Ho1 Ho 0.000 0.000 0.500 1
Pt1 Pt 0.250 0.250 0.250 1
Rh1 Rh 0.250 0.250 0.750 1

# 8
# KCeMgI6 | Alexandria via LeMat-Bulk | GGA-PBE | relaxed
# ΔE_f (raw) = -1263 meV per atom
# total DFT energy (no corrections) = -3.25 eV/atom
# crystal system = trigonal
data_KCeMgI6
_space_group_name_H-M_alt 'P -3 1 c'
_space_group_IT_number 163
_space_group_name_Hall '-P 3 2c'
_cell_length_a 7.8873
_cell_length_b 7.8873
_cell_length_c 15.6118
_cell_angle_alpha 90.00
_cell_angle_beta 90.00
_cell_angle_gamma 120.00
loop_
_atom_site_label
_atom_site_type_symbol
_atom_site_fract_x
_atom_site_fract_y
_atom_site_fract_z
_atom_site_occupancy
K1 K 0.0000 0.0000 0.0000 1
Ce1 Ce 0.3333 0.6667 0.2500 1
Mg1 Mg 0.3333 0.6667 0.7500 1
I1 I 0.0188 0.3754 0.6380 1

# 9
# Ga2PdPt | Alexandria via LeMat-Bulk | GGA-PBE | relaxed
# total DFT energy (no corrections) = -4.87 eV/atom
# energy relative to the elements = -53 kJ per mole of atoms
# crystal system = monoclinic
# energy above the lowest structure with this stoichiometry = 14 meV/atom
data_Ga2PdPt
_space_group_name_H-M_alt 'P 1 m 1'
_space_group_IT_number 6
_space_group_name_Hall 'P -2y'
_cell_length_a 3.363
_cell_length_b 2.829
_cell_length_c 6.971
_cell_angle_alpha 90.00
_cell_angle_beta 103.59
_cell_angle_gamma 90.00
loop_
_atom_site_label
_atom_site_type_symbol
_atom_site_fract_x
_atom_site_fract_y
_atom_site_fract_z
_atom_site_occupancy
Ga1 Ga 0.000 0.000 0.000 1
Ga2 Ga 0.239 0.000 0.470 1
Pd1 Pd 0.625 0.500 0.238 1
Pt1 Pt 0.396 0.500 0.791 1

# 10
# Sc2TcOs2 | Alexandria via LeMat-Bulk | GGA-PBE | relaxed
# total DFT energy (no corrections) = -8.74 eV/atom
# energy relative to the elements = 34 kJ per mole of atoms
# crystal system = tetragonal
# energy above the lowest structure with this stoichiometry = 504 meV/atom
data_Sc2TcOs2
_space_group_name_H-M_alt 'P 4/m b m'
_space_group_IT_number 127
_space_group_name_Hall '-P 4 2ab'
_cell_length_a 7.493
_cell_length_b 7.493
_cell_length_c 2.989
_cell_angle_alpha 90.00
_cell_angle_beta 90.00
_cell_angle_gamma 90.00
loop_
_atom_site_label
_atom_site_type_symbol
_atom_site_fract_x
_atom_site_fract_y
_atom_site_fract_z
_atom_site_occupancy
Sc1 Sc 0.134 0.366 0.000 1
Tc1 Tc 0.000 0.000 0.000 1
Os1 Os 0.172 0.672 0.500 1

# 11
# KHgPd | Alexandria via LeMat-Bulk | GGA-PBE | relaxed
# total DFT energy (no corrections) = -2.22 eV/atom
# energy relative to the elements = -2 kJ per mole of atoms
# crystal system = orthorhombic
# energy above the lowest structure with this stoichiometry = 192 meV/atom
data_KHgPd
_space_group_name_H-M_alt 'C m c m'
_space_group_IT_number 63
_space_group_name_Hall '-C 2c 2'
_cell_length_a 4.948
_cell_length_b 15.350
_cell_length_c 5.327
_cell_angle_alpha 90.00
_cell_angle_beta 90.00
_cell_angle_gamma 90.00
loop_
_atom_site_label
_atom_site_type_symbol
_atom_site_fract_x
_atom_site_fract_y
_atom_site_fract_z
_atom_site_occupancy
K1 K 0.000 0.112 0.250 1
Hg1 Hg 0.000 0.340 0.250 1
Pd1 Pd 0.000 0.500 0.000 1

# 12
# CrCoSb2I | Alexandria via LeMat-Bulk | GGA-PBE | relaxed
# ΔE_f (raw) = 1033 meV per atom
# total DFT energy (no corrections) = -4.27 eV/atom
# crystal system = tetragonal
# energy above the lowest structure with this stoichiometry = 0 meV/atom
data_CrCoSb2I
_space_group_name_H-M_alt 'P 4/m m m'
_space_group_IT_number 123
_space_group_name_Hall '-P 4 2'
_cell_length_a 4.903
_cell_length_b 4.903
_cell_length_c 5.705
_cell_angle_alpha 90.00
_cell_angle_beta 90.00
_cell_angle_gamma 90.00
loop_
_atom_site_label
_atom_site_type_symbol
_atom_site_fract_x
_atom_site_fract_y
_atom_site_fract_z
_atom_site_occupancy
Cr1 Cr 0.000 0.000 0.000 1
Co1 Co 0.500 0.500 0.500 1
Sb1 Sb 0.000 0.500 0.000 1
I1 I 0.000 0.000 0.500 1

# 13
# Hf3GeMo | Alexandria via LeMat-Bulk | GGA-PBE | relaxed
# total DFT energy (no corrections) = -8.24 eV/atom
# energy relative to the elements = 80 kJ per mole of atoms
# crystal system = cubic
# energy above the lowest structure with this stoichiometry = 40 meV/atom
data_Hf3GeMo
_space_group_name_H-M_alt 'P m -3 m'
_space_group_IT_number 221
_space_group_name_Hall '-P 4 2 3'
_cell_length_a 4.992
_cell_length_b 4.992
_cell_length_c 4.992
_cell_angle_alpha 90.00
_cell_angle_beta 90.00
_cell_angle_gamma 90.00
loop_
_atom_site_label
_atom_site_type_symbol
_atom_site_fract_x
_atom_site_fract_y
_atom_site_fract_z
_atom_site_occupancy
Hf1 Hf 0.000 0.000 0.500 1
Ge1 Ge 0.500 0.500 0.500 1
Mo1 Mo 0.000 0.000 0.000 1

# 14
# Np2Pa3O9 | Alexandria via LeMat-Bulk | GGA-PBE | relaxed
# ΔE_f (raw) = -3283 meV per atom
# total DFT energy (no corrections) = -10.35 eV/atom
# crystal system = tetragonal
data_Np2Pa3O9
_space_group_name_H-M_alt 'I -4 m 2'
_space_group_IT_number 119
_space_group_name_Hall 'I -4 -2'
_cell_length_a 3.854
_cell_length_b 3.854
_cell_length_c 27.283
_cell_angle_alpha 90.00
_cell_angle_beta 90.00
_cell_angle_gamma 90.00
loop_
_atom_site_label
_atom_site_type_symbol
_atom_site_fract_x
_atom_site_fract_y
_atom_site_fract_z
_atom_site_occupancy
Np1 Np 0.000 0.000 0.200 1
Pa1 Pa 0.000 0.000 0.000 1
Pa2 Pa 0.000 0.000 0.398 1
O1 O 0.000 0.500 0.049 1
O2 O 0.000 0.500 0.147 1
O3 O 0.000 0.500 0.250 1
O4 O 0.000 0.500 0.551 1
O5 O 0.000 0.500 0.652 1

# 15
# La3GdBr4O4 | Alexandria via LeMat-Bulk | GGA-PBE | relaxed
# ΔE_f (raw) = -2962 meV per atom
# total DFT energy (no corrections) = -7.58 eV/atom
# crystal system = tetragonal
data_La3GdBr4O4
_space_group_name_H-M_alt 'P 4 m m'
_space_group_IT_number 99
_space_group_name_Hall 'P 4 -2'
_cell_length_a 4.043
_cell_length_b 4.043
_cell_length_c 17.552
_cell_angle_alpha 90.00
_cell_angle_beta 90.00
_cell_angle_gamma 90.00
loop_
_atom_site_label
_atom_site_type_symbol
_atom_site_fract_x
_atom_site_fract_y
_atom_site_fract_z
_atom_site_occupancy
La1 La 0.000 0.000 0.000 1
La2 La 0.000 0.000 0.493 1
La3 La 0.500 0.500 0.635 1
Gd1 Gd 0.500 0.500 0.134 1
Br1 Br 0.000 0.000 0.227 1
Br2 Br 0.000 0.000 0.730 1
Br3 Br 0.500 0.500 0.400 1
Br4 Br 0.500 0.500 0.906 1
O1 O 0.000 0.500 0.071 1
O2 O 0.000 0.500 0.564 1

# 16
# Y2ZnSi | Alexandria via LeMat-Bulk | GGA-PBE | relaxed
# ΔE_f (raw) = 196 meV per atom
# total DFT energy (no corrections) = -4.71 eV/atom
# crystal system = cubic
data_Y2ZnSi
_space_group_name_H-M_alt 'F -4 3 m'
_space_group_IT_number 216
_space_group_name_Hall 'F -4 2 3'
_cell_length_a 7.097
_cell_length_b 7.097
_cell_length_c 7.097
_cell_angle_alpha 90.00
_cell_angle_beta 90.00
_cell_angle_gamma 90.00
loop_
_atom_site_label
_atom_site_type_symbol
_atom_site_fract_x
_atom_site_fract_y
_atom_site_fract_z
_atom_site_occupancy
Y1 Y 0.000 0.000 0.000 1
Y2 Y 0.250 0.250 0.250 1
Zn1 Zn 0.250 0.250 0.750 1
Si1 Si 0.000 0.000 0.500 1

# 17
# InTeIN2 | Alexandria via LeMat-Bulk | GGA-PBE | relaxed
# ΔE_f (raw) = 1467 meV per atom
# total DFT energy (no corrections) = -3.35 eV/atom
# crystal system = tetragonal
# energy above the lowest structure with this stoichiometry = 183 meV/atom
data_InTeIN2
_space_group_name_H-M_alt 'P 4/m m m'
_space_group_IT_number 123
_space_group_name_Hall '-P 4 2'
_cell_length_a 4.426
_cell_length_b 4.426
_cell_length_c 7.136
_cell_angle_alpha 90.00
_cell_angle_beta 90.00
_cell_angle_gamma 90.00
loop_
_atom_site_label
_atom_site_type_symbol
_atom_site_fract_x
_atom_site_fract_y
_atom_site_fract_z
_atom_site_occupancy
In1 In 0.000 0.000 0.000 1
Te1 Te 0.500 0.500 0.500 1
I1 I 0.000 0.000 0.500 1
N1 N 0.000 0.500 0.000 1

# 18
# Mn2WC | Alexandria via LeMat-Bulk | GGA-PBE | relaxed
# total DFT energy (no corrections) = -9.05 eV/atom
# energy relative to the elements = 104 kJ per mole of atoms
# crystal system = cubic
# energy above the lowest structure with this stoichiometry = 966 meV/atom
data_Mn2WC
_space_group_name_H-M_alt 'F m -3 m'
_space_group_IT_number 225
_space_group_name_Hall '-F 4 2 3'
_cell_length_a 5.595
_cell_length_b 5.595
_cell_length_c 5.595
_cell_angle_alpha 90.00
_cell_angle_beta 90.00
_cell_angle_gamma 90.00
loop_
_atom_site_label
_atom_site_type_symbol
_atom_site_fract_x
_atom_site_fract_y
_atom_site_fract_z
_atom_site_occupancy
Mn1 Mn 0.250 0.250 0.250 1
W1 W 0.000 0.000 0.000 1
C1 C 0.000 0.000 0.500 1